# Sr2ZrMo (GGA-PBEsol, optimized geometry)
# ΔE_f (meV per atom): 1079
# Offset from the most stable computed form (meV per atom): 654
data_Sr2ZrMo
_cell_length_a 3.2133
_cell_length_b 3.2133
_cell_length_c 34.5527
_cell_angle_alpha 90.00
_cell_angle_beta 90.00
_cell_angle_gamma 120.00
_symmetry_space_group_name_H-M 'R -3 m'
_symmetry_Int_Tables_number 166
_symmetry_space_group_name_Hall '-R 3 2"'
loop_
_atom_site_label
_atom_site_fract_x
_atom_site_fract_y
_atom_site_fract_z
Sr1 0.0000 0.0000 0.2425
Zr1 0.0000 0.0000 0.0000
Mo1 0.0000 0.0000 0.5000